DFT (PBE) results for CdAg2Te after structural relaxation.

Lattice parameters (Å, degrees): 3.1276 3.1276 9.3009 90.00 90.00 90.00
Fractional coordinates of all 4 atoms:
Cd (0.0000, 0.0000, 0.0000)
Ag (0.0000, 0.0000, 0.5800)
Ag (0.5000, 0.5000, 0.7867)
Te (0.5000, 0.5000, 0.3208)

Results
ΔE_f (raw)   0.10 eV/atom
SG   P4mm (99)
Calculated density   8318 kg/m3
Relative energy among the computed polymorphs   0.1006 eV per atom
Spin magnetization   0.00 μB/atom